[1]
Crystalline KAg4Ru at its relaxed geometry. Source: Alexandria, functional PBE.

Computed properties:
- final energy (eV/cell) = -18.17
- space group = F-43m
- ΔH_f (0 K) (eV/atom) = 0.602
- total magnetization (μB per cell) = 2.0

a b c (Å): 5.613 5.613 5.613
angles (deg): 60.00 60.00 60.00
Positions (direct):
Ag: 0.374 0.374 0.877
Ag: 0.374 0.877 0.374
Ru: 0.000 0.000 0.000
Ag: 0.877 0.374 0.374
K: 0.750 0.750 0.750
Ag: 0.374 0.374 0.374


[2]
Crystalline Ti11Ga9Ru4 at its relaxed geometry. Source: Alexandria, functional PBE.

Computed properties:
- final energy (eV/cell) = -162.98
- space group = Cmmm
- ΔH_f (0 K) (eV/atom) = -0.491
- total magnetization (μB per cell) = 0.0

a b c (Å): 3.040 11.680 11.680
angles (deg): 112.74 90.00 90.00
Positions (direct):
Ti: 0.000 0.591 0.943
Ga: 0.500 0.366 0.842
Ti: 0.000 0.843 0.157
Ti: 0.000 0.000 0.000
Ga: 0.500 0.932 0.787
Ti: 0.000 0.305 0.305
Ti: 0.000 0.057 0.409
Ga: 0.500 0.213 0.068
Ru: 0.500 0.762 0.554
Ti: 0.000 0.695 0.695
Ru: 0.500 0.554 0.762
Ga: 0.500 0.500 0.500
Ti: 0.000 0.157 0.843
Ga: 0.500 0.787 0.932
Ga: 0.500 0.634 0.158
Ti: 0.000 0.628 0.372
Ga: 0.500 0.842 0.366
Ti: 0.000 0.372 0.628
Ru: 0.500 0.446 0.238
Ru: 0.500 0.238 0.446
Ti: 0.000 0.943 0.591
Ga: 0.500 0.158 0.634
Ga: 0.500 0.068 0.213
Ti: 0.000 0.409 0.057


[3]
Crystalline Ce5GePb2N at its relaxed geometry. Source: Alexandria, functional PBE.

Computed properties:
- final energy (eV/cell) = -55.63
- space group = P4/mmm
- energy relative to the elements, uncorrected (meV per atom) = -623
- total magnetization (μB per cell) = 4.6

a b c (Å): 4.694 4.694 11.655
angles (deg): 90.00 90.00 90.00
Positions (direct):
N: 0.000 0.000 0.500
Pb: 0.500 0.500 0.711
Ce: 0.000 0.000 0.748
Ge: 0.000 0.000 0.000
Ce: 0.500 0.000 0.500
Ce: 0.500 0.500 0.000
Ce: 0.000 0.500 0.500
Ce: 0.000 0.000 0.252
Pb: 0.500 0.500 0.289


[4]
Crystalline SbTe2Rh at its relaxed geometry. Source: Alexandria, functional PBE.

Computed properties:
- final energy (eV/cell) = -18.29
- space group = R3m
- energy relative to the elements, uncorrected (meV per atom) = -132
- total magnetization (μB per cell) = 0.0

a b c (Å): 7.938 7.938 7.938
angles (deg): 28.67 28.67 28.67
Positions (direct):
Te: 0.992 0.992 0.992
Te: 0.773 0.773 0.773
Rh: 0.499 0.499 0.499
Sb: 0.235 0.235 0.235


[5]
Crystalline Ac2Ga4Ni3Ag at its relaxed geometry. Source: Alexandria, functional PBE.

Computed properties:
- final energy (eV/cell) = -45.00
- space group = P-4m2
- ΔH_f (0 K) (eV/atom) = -0.448
- total magnetization (μB per cell) = 0.0

a b c (Å): 4.318 4.318 10.520
angles (deg): 90.00 90.00 90.00
Positions (direct):
Ni: 0.500 0.000 0.875
Ga: 0.000 0.000 0.000
Ni: 0.000 0.500 0.125
Ni: 0.000 0.000 0.500
Ag: 0.500 0.500 0.500
Ac: 0.500 0.000 0.239
Ga: 0.500 0.500 0.000
Ga: 0.000 0.500 0.364
Ga: 0.500 0.000 0.636
Ac: 0.000 0.500 0.761


[6]
Crystalline MgCrCo2 at its relaxed geometry. Source: Alexandria, functional PBE.

Computed properties:
- final energy (eV/cell) = -24.20
- space group = Pmm2
- ΔH_f (0 K) (eV/atom) = 0.309
- total magnetization (μB per cell) = 3.0

a b c (Å): 2.647 3.513 5.573
angles (deg): 90.00 90.00 90.00
Positions (direct):
Mg: 0.500 0.500 0.765
Co: 0.000 0.000 0.028
Co: 0.500 0.500 0.266
Cr: 0.000 0.000 0.441


[7]
Crystalline PrErTaN3 at its relaxed geometry. Source: Alexandria, functional PBE.

Computed properties:
- final energy (eV/cell) = -105.50
- space group = P2_1/m
- energy relative to the elements, uncorrected (meV per atom) = -1096
- total magnetization (μB per cell) = 0.0

a b c (Å): 3.364 6.606 9.509
angles (deg): 96.21 90.00 90.00
Positions (direct):
N: 0.750 0.402 0.122
N: 0.750 0.198 0.470
N: 0.750 0.885 0.214
Pr: 0.250 0.206 0.243
N: 0.250 0.115 0.786
Er: 0.250 0.659 0.115
N: 0.250 0.802 0.530
Pr: 0.750 0.794 0.757
Ta: 0.250 0.142 0.581
Er: 0.750 0.341 0.885
Ta: 0.750 0.858 0.419
N: 0.250 0.598 0.878


[8]
Crystalline Zr4FeOs at its relaxed geometry. Source: Alexandria, functional PBE.

Computed properties:
- final energy (eV/cell) = -53.15
- offset from the most stable computed form (eV per formula unit) = 0.00
- space group = C2/m
- ΔH_f (0 K) (eV/atom) = 0.123
- total magnetization (μB per cell) = 1.4

a b c (Å): 3.190 6.798 8.300
angles (deg): 44.16 78.92 76.43
Positions (direct):
Os: 0.500 0.500 0.500
Zr: 0.352 0.426 0.870
Zr: 0.648 0.574 0.130
Zr: 0.853 0.931 0.364
Zr: 0.147 0.069 0.636
Fe: 0.000 0.000 0.000


[9]
Crystalline TiBi3Au at its relaxed geometry. Source: Alexandria, functional PBE.

Computed properties:
- final energy (eV/cell) = -21.14
- offset from the most stable computed form (eV per formula unit) = 0.00
- space group = Pm-3m
- ΔH_f (0 K) (eV/atom) = 0.335
- total magnetization (μB per cell) = 0.0

a b c (Å): 5.346 5.346 5.346
angles (deg): 90.00 90.00 90.00
Positions (direct):
Bi: 0.000 0.000 0.500
Ti: 0.000 0.000 0.000
Bi: 0.000 0.500 0.000
Au: 0.500 0.500 0.500
Bi: 0.500 0.000 0.000


[10]
Crystalline Dy6Sn2N at its relaxed geometry. Source: Alexandria, functional PBE.

Computed properties:
- final energy (eV/cell) = -46.14
- space group = Immm
- energy relative to the elements, uncorrected (meV per atom) = -244
- total magnetization (μB per cell) = 0.8

a b c (Å): 5.520 6.889 8.036
angles (deg): 115.38 110.13 90.00
Positions (direct):
Dy: 0.127 0.373 0.253
Sn: 0.686 0.685 0.371
Dy: 0.500 0.751 0.000
Dy: 0.873 0.627 0.747
Dy: 0.500 0.249 0.000
Dy: 0.873 0.120 0.747
N: 0.000 0.000 0.000
Dy: 0.127 0.880 0.253
Sn: 0.314 0.315 0.629


[11]
Crystalline Pr3Ho4 at its relaxed geometry. Source: Alexandria, functional PBE.

Computed properties:
- final energy (eV/cell) = -32.49
- space group = C2/m
- ΔH_f (0 K) (eV/atom) = 0.023
- total magnetization (μB per cell) = 0.0

a b c (Å): 5.101 6.250 8.062
angles (deg): 82.47 90.00 114.08
Positions (direct):
Pr: 0.287 0.573 0.147
Ho: 0.142 0.284 0.570
Ho: 0.858 0.716 0.430
Pr: 0.713 0.427 0.853
Pr: 0.000 0.000 0.000
Ho: 0.573 0.145 0.292
Ho: 0.427 0.855 0.708


[12]
Crystalline TbLu2Cr at its relaxed geometry. Source: Alexandria, functional PBE.

Computed properties:
- final energy (eV/cell) = -22.54
- space group = P4/mmm
- ΔH_f (0 K) (eV/atom) = 0.189
- total magnetization (μB per cell) = 3.7

a b c (Å): 3.528 3.528 8.396
angles (deg): 90.00 90.00 90.00
Positions (direct):
Tb: 0.500 0.500 0.500
Lu: 0.000 0.000 0.800
Cr: 0.500 0.500 0.000
Lu: 0.000 0.000 0.200


[13]
Crystalline Tl2As at its relaxed geometry. Source: Alexandria, functional PBE.

Computed properties:
- final energy (eV/cell) = -18.61
- offset from the most stable computed form (eV per formula unit) = 0.02
- space group = Cm
- ΔH_f (0 K) (eV/atom) = 0.025
- total magnetization (μB per cell) = 0.0

a b c (Å): 6.354 6.354 8.555
angles (deg): 72.63 72.63 32.62
Positions (direct):
As: 0.393 0.393 0.229
As: 0.024 0.024 0.070
Tl: 0.639 0.639 0.309
Tl: 0.297 0.297 0.939
Tl: 0.887 0.887 0.561
Tl: 0.593 0.593 0.725


[14]
Crystalline CdOsPb2 at its relaxed geometry. Source: Alexandria, functional PBE.

Computed properties:
- final energy (eV/cell) = -17.68
- space group = Immm
- ΔH_f (0 K) (eV/atom) = 0.470
- total magnetization (μB per cell) = 0.0

a b c (Å): 7.539 7.539 4.750
angles (deg): 71.60 71.60 24.13
Positions (direct):
Pb: 0.581 0.581 0.419
Cd: 0.750 0.750 0.750
Pb: 0.919 0.919 0.081
Os: 0.250 0.250 0.250


[15]
Crystalline Sr2Cd3Bi4 at its relaxed geometry. Source: Alexandria, functional PBE.

Computed properties:
- final energy (eV/cell) = -50.56
- space group = Cmce
- ΔH_f (0 K) (eV/atom) = -0.405
- total magnetization (μB per cell) = 0.0

a b c (Å): 7.030 9.284 9.367
angles (deg): 90.00 112.04 90.00
Positions (direct):
Bi: 0.700 0.750 0.900
Cd: 0.528 0.750 0.556
Bi: 0.684 0.552 0.367
Sr: 0.618 0.925 0.236
Bi: 0.816 0.052 0.633
Cd: 0.472 0.250 0.444
Sr: 0.118 0.575 0.236
Cd: 0.972 0.250 0.444
Cd: 0.000 0.000 0.000
Cd: 0.500 0.500 0.000
Sr: 0.382 0.075 0.764
Bi: 0.800 0.250 0.100
Cd: 0.028 0.750 0.556
Bi: 0.316 0.448 0.633
Bi: 0.300 0.250 0.100
Bi: 0.200 0.750 0.900
Bi: 0.184 0.948 0.367
Sr: 0.882 0.425 0.764


[16]
Crystalline Nb2VNiH at its relaxed geometry. Source: Alexandria, functional PBE.

Computed properties:
- final energy (eV/cell) = -38.84
- offset from the most stable computed form (eV per formula unit) = 0.00
- space group = P4/mmm
- total magnetization (μB per cell) = 0.0

a b c (Å): 4.308 4.308 3.396
angles (deg): 90.00 90.00 90.00
Positions (direct):
Nb: 0.000 0.500 0.000
Ni: 0.000 0.000 0.500
V: 0.500 0.500 0.500
Nb: 0.500 0.000 0.000
H: 0.000 0.000 0.000


[17]
Crystalline TmTlHgF6 at its relaxed geometry. Source: Alexandria, functional PBE.

Computed properties:
- final energy (eV/cell) = -42.72
- space group = P312
- energy relative to the elements, uncorrected (meV per atom) = -2706
- total magnetization (μB per cell) = 0.0

a b c (Å): 6.164 6.164 5.586
angles (deg): 90.01 89.99 59.97
Positions (direct):
F: 0.388 0.977 0.708
F: 0.977 0.635 0.708
F: 0.635 0.389 0.708
Tl: 0.000 0.000 0.000
Hg: 0.333 0.333 0.500
F: 0.388 0.635 0.292
F: 0.635 0.977 0.292
F: 0.977 0.388 0.292
Tm: 0.667 0.667 0.500


[18]
Crystalline La2SmAlO at its relaxed geometry. Source: Alexandria, functional PBE.

Computed properties:
- final energy (eV/cell) = -29.94
- space group = P4/mmm
- energy relative to the elements, uncorrected (meV per atom) = -1333
- total magnetization (μB per cell) = 0.0

a b c (Å): 4.896 5.022 5.022
angles (deg): 90.00 90.00 90.00
Positions (direct):
Al: 0.500 0.500 0.500
O: 0.000 0.000 0.000
Sm: 0.500 0.000 0.000
La: 0.000 0.000 0.500
La: 0.000 0.500 0.000


[19]
Crystalline Hf2ZrSn at its relaxed geometry. Source: Alexandria, functional PBE.

Computed properties:
- final energy (eV/cell) = -66.95
- space group = P2_1/m
- ΔH_f (0 K) (eV/atom) = -0.254
- total magnetization (μB per cell) = 0.0

a b c (Å): 4.227 6.547 6.500
angles (deg): 93.65 90.00 90.00
Positions (direct):
Zr: 0.750 0.618 0.360
Sn: 0.750 0.652 0.849
Zr: 0.250 0.382 0.640
Hf: 0.750 0.134 0.884
Hf: 0.250 0.885 0.616
Sn: 0.250 0.348 0.151
Hf: 0.250 0.866 0.116
Hf: 0.750 0.115 0.384


[20]
Crystalline Ba2MgCd at its relaxed geometry. Source: Alexandria, functional PBE.

Computed properties:
- final energy (eV/cell) = -11.85
- space group = I-42d
- ΔH_f (0 K) (eV/atom) = 0.108
- total magnetization (μB per cell) = 0.0

a b c (Å): 9.598 9.598 7.813
angles (deg): 52.10 52.10 90.00
Positions (direct):
Ba: 0.106 0.625 0.250
Cd: 0.750 0.250 0.500
Mg: 0.250 0.750 0.500
Ba: 0.875 0.894 0.750
Ba: 0.375 0.356 0.750
Cd: 0.000 0.000 0.000
Ba: 0.644 0.125 0.250
Mg: 0.500 0.500 0.000


[21]
Crystalline RbTaCrW2 at its relaxed geometry. Source: Alexandria, functional PBE.

Computed properties:
- final energy (eV/cell) = -31.45
- space group = P4/mmm
- ΔH_f (0 K) (eV/atom) = 3.381
- total magnetization (μB per cell) = 1.4

a b c (Å): 4.754 4.276 4.754
angles (deg): 90.00 90.00 90.00
Positions (direct):
Ta: 0.500 0.500 0.500
W: 0.500 0.000 0.000
Rb: 0.000 0.000 0.000
Cr: 0.000 0.500 0.000
W: 0.000 0.000 0.500


[22]
Crystalline Ir2PdRu at its relaxed geometry. Source: Alexandria, functional PBE.

Computed properties:
- final energy (eV/cell) = -32.07
- offset from the most stable computed form (eV per formula unit) = 0.10
- space group = P4/mmm
- ΔH_f (0 K) (eV/atom) = 0.031
- total magnetization (μB per cell) = 0.0

a b c (Å): 2.732 2.732 7.798
angles (deg): 90.00 90.00 90.00
Positions (direct):
Pd: 0.500 0.500 0.750
Ru: 0.500 0.500 0.250
Ir: 0.000 0.000 0.488
Ir: 0.000 0.000 0.012


[23]
Crystalline Zr2GaSi at its relaxed geometry. Source: Alexandria, functional PBE.

Computed properties:
- final energy (eV/cell) = -57.58
- space group = P2_1/m
- energy relative to the elements, uncorrected (meV per atom) = -811
- total magnetization (μB per cell) = 0.0

a b c (Å): 3.821 5.420 7.719
angles (deg): 111.05 90.00 90.00
Positions (direct):
Zr: 0.750 0.209 0.433
Zr: 0.250 0.791 0.567
Ga: 0.750 0.670 0.791
Ga: 0.250 0.330 0.209
Si: 0.250 0.342 0.709
Zr: 0.750 0.221 0.924
Si: 0.750 0.658 0.291
Zr: 0.250 0.779 0.076


[24]
Crystalline GeRhOF2 at its relaxed geometry. Source: Alexandria, functional PBE.

Computed properties:
- final energy (eV/cell) = -24.05
- offset from the most stable computed form (eV per formula unit) = 0.00
- space group = P4/mmm
- energy relative to the elements, uncorrected (meV per atom) = -676
- total magnetization (μB per cell) = 0.0

a b c (Å): 4.330 4.330 3.817
angles (deg): 90.00 90.00 90.00
Positions (direct):
F: 0.000 0.500 0.000
F: 0.500 0.000 0.000
Rh: 0.000 0.000 0.000
O: 0.000 0.000 0.500
Ge: 0.500 0.500 0.500


[25]
Crystalline Nd2Ho6Ga at its relaxed geometry. Source: Alexandria, functional PBE.

Computed properties:
- final energy (eV/cell) = -39.76
- space group = C2/m
- ΔH_f (0 K) (eV/atom) = 0.030
- total magnetization (μB per cell) = 0.0

a b c (Å): 3.511 9.334 9.809
angles (deg): 118.41 90.17 90.00
Positions (direct):
Ho: 0.500 0.726 0.000
Ho: 0.001 0.009 0.677
Ga: 0.000 0.000 0.000
Ho: 0.500 0.274 0.000
Ho: 0.999 0.332 0.323
Ho: 0.001 0.668 0.677
Ho: 0.999 0.991 0.323
Nd: 0.498 0.675 0.349
Nd: 0.502 0.325 0.651